1.
Here is an optimized crystal structure of PmPS4I from the Alexandria database. Energies are from GGA-PBE.

Cell lengths 13.9608, 8.8437, 7.3852 Å; angles 90.00, 108.66, 90.00 degrees
Closest atoms and distances in Å follow each position.
Space group C2/m (No. 12)
Asymmetric unit:
Pm  0.1850  0.0000  0.0765 (multiplicity 4)  5 S 2.87-2.96, 2 I 3.10-3.12
P  0.1633  0.5000  0.2668 (multiplicity 4)  4 S 1.99-2.09
S  0.0060  0.5000  0.1461 (multiplicity 4)  1 P 2.09, 1 S 2.11
S  0.1657  0.5000  0.5372 (multiplicity 4)  1 P 1.99
S  0.2292  0.3249  0.1609 (multiplicity 8)  1 P 2.08
I  0.0164  0.0000  0.2660 (multiplicity 4)  2 Pm 3.10-3.12

Properties
ΔE_f (raw), kcal/mol of atoms: -18.3



2.
Here is an optimized crystal structure of Pm8P3SI4 from the Alexandria database. Energies are from GGA-PBE.

Cell lengths 8.3741, 8.3741, 22.8176 Å; angles 90.00, 90.00, 120.00 degrees
Closest atoms and distances in Å follow each position.
Space group R-3m (No. 166, hexagonal axes)
Asymmetric unit:
Pm  0.0000  0.0000  0.2289 (multiplicity 6)  3 P 2.80
Pm  0.0012  0.5006  0.2283 (multiplicity 18)  1 S 2.79, 2 P 2.80
P  0.0000  0.5000  0.5000 (multiplicity 9)  6 Pm 2.80
S  0.0000  0.0000  0.5000 (multiplicity 3)  6 Pm 2.79
I  0.0000  0.0000  0.0000 (multiplicity 3)  6 Pm 3.41
I  0.0000  0.5000  0.0000 (multiplicity 9)  6 Pm 3.39-3.40

Properties
ΔE_f (raw), kcal/mol of atoms: -32.2
D(E_F), states/eV/atom: 0.3819



3.
Here is an optimized crystal structure of Pm6P3S2I from the Alexandria database. Energies are from GGA-PBE.

Cell lengths 18.2320, 4.1246, 8.4313 Å; angles 90.00, 104.30, 90.00 degrees
Closest atoms and distances in Å follow each position.
Space group C2/m (No. 12)
Asymmetric unit:
Pm  0.0006  0.0000  0.2160 (multiplicity 4)  3 P 2.75-2.87, 1 S 2.99
Pm  0.1648  0.5000  0.0895 (multiplicity 4)  3 P 2.91, 3 S 2.97-3.00
Pm  0.1800  0.5000  0.5841 (multiplicity 4)  3 P 2.78-2.92, 2 S 2.99
P  0.0000  0.5000  0.0000 (multiplicity 2)  6 Pm 2.75-2.91
P  0.1626  0.0000  0.3325 (multiplicity 4)  6 Pm 2.78-2.92
S  0.1674  0.0000  0.8327 (multiplicity 4)  6 Pm 2.97-3.00
I  0.0000  0.5000  0.5000 (multiplicity 2)  6 Pm 3.16-3.18

Properties
ΔE_f (raw), kcal/mol of atoms: -38.1
D(E_F), states/eV/atom: 0.3800



4.
Here is an optimized crystal structure of Pm6P3Se2I from the Alexandria database. Energies are from GGA-PBE.

Cell lengths 18.5717, 4.1586, 8.5747 Å; angles 90.00, 105.49, 90.00 degrees
Closest atoms and distances in Å follow each position.
Space group C2/m (No. 12)
Asymmetric unit:
Pm  0.0047  0.0000  0.2166 (multiplicity 4)  3 P 2.77-2.86, 1 Se 3.08
Pm  0.1624  0.5000  0.0956 (multiplicity 4)  3 P 2.90-2.91, 3 Se 3.08-3.09
Pm  0.1797  0.5000  0.5747 (multiplicity 4)  3 P 2.80-2.90, 2 Se 3.08
P  0.0000  0.5000  0.0000 (multiplicity 2)  6 Pm 2.77-2.91
P  0.1640  0.0000  0.3322 (multiplicity 4)  6 Pm 2.80-2.90
Se  0.1659  0.0000  0.8305 (multiplicity 4)  6 Pm 3.08-3.09
I  0.0000  0.5000  0.5000 (multiplicity 2)  6 Pm 3.22-3.23

Properties
ΔE_f (raw), kcal/mol of atoms: -37.6
D(E_F), states/eV/atom: 0.3509